Na3PrV2O8: relaxed, PBE with a Hubbard U.

a = 6.0638 Å, b = 6.0638 Å, c = 7.1755 Å
α = 90.00°, β = 90.00°, γ = 120.00°
Space group P-3m1 (No. 164)
One atom of each set of equivalent atoms:
Na: 0.0000 0.0000 0.0000
Na: 0.3333 0.6667 0.6724
Pr: 0.0000 0.0000 0.5000
V: 0.3333 0.6667 0.2093
O: 0.1769 0.3537 0.2992
O: 0.3333 0.6667 0.9756

* theoretical density: 3.2 g cm⁻³
* V: 16.32 Å³ per atom
* total moment: 0.0 μB per formula unit
* uncorrected energy: -6.69 eV/atom

=====

Na4Pr3VO8: relaxed, PBE with a Hubbard U.

a = 11.953 Å, b = 6.981 Å, c = 6.928 Å
α = 90.00°, β = 124.49°, γ = 90.00°
Space group C2/m (No. 12)
One atom of each set of equivalent atoms:
Na: 0.000 0.000 0.000
Na: 0.000 0.500 0.000
Na: 0.250 0.250 0.500
Pr: 0.000 0.000 0.500
Pr: 0.250 0.250 0.000
V: 0.000 0.500 0.500
O: 0.006 0.277 0.716
O: 0.239 0.500 0.752
O: 0.240 0.000 0.758

* theoretical density: 4.8 g cm⁻³
* V: 14.89 Å³ per atom
* total moment: 2.0 μB per formula unit
* uncorrected energy: -6.51 eV/atom

=====

NaPrVO4: relaxed, PBE with a Hubbard U.

a = 5.737 Å, b = 5.945 Å, c = 6.751 Å
α = 90.00°, β = 111.97°, γ = 90.00°
Space group P2_1/m (No. 11)
One atom of each set of equivalent atoms:
Na: 0.063 0.250 0.472
Pr: 0.242 0.250 0.044
V: 0.322 0.750 0.332
O: 0.079 0.522 0.227
O: 0.414 0.750 0.612
O: 0.485 0.250 0.825

* theoretical density: 4.3 g cm⁻³
* V: 15.25 Å³ per atom
* total moment: 1.0 μB per formula unit
* uncorrected energy: -7.18 eV/atom

=====

NaPr2VO5: relaxed, PBE with a Hubbard U.

a = 6.888 Å, b = 6.888 Å, c = 5.723 Å
α = 90.00°, β = 90.00°, γ = 90.00°
Space group P4/mbm (No. 127)
One atom of each set of equivalent atoms:
Na: 0.000 0.000 0.000
Pr: 0.178 0.322 0.500
V: 0.000 0.500 0.000
O: 0.000 0.000 0.500
O: 0.131 0.631 0.240

* theoretical density: 5.3 g cm⁻³
* V: 15.08 Å³ per atom
* total moment: 0.0 μB per formula unit
* uncorrected energy: -7.29 eV/atom